Below is Al2CrPbO6 after structural relaxation, with properties calculated at the PBE+U level.

Cell lengths 6.154, 7.092, 7.092 Å; angles 103.96, 75.02, 75.02 degrees
Last column: magnetic moment on the atom in μB.
Sites, in units of the cell vectors:
Cr1 0.750 0.798 0.202  2.06
Cr2 0.250 0.202 0.798  2.06
O1 0.548 0.575 0.664  0.00
O2 0.533 0.187 0.635  -0.02
O3 0.967 0.365 0.813  -0.02
O4 0.952 0.336 0.425  0.00
O5 0.048 0.664 0.575  0.00
O6 0.467 0.813 0.365  -0.02
O7 0.706 0.772 0.952  -0.03
O8 0.452 0.425 0.336  0.00
O9 0.033 0.635 0.187  -0.02
O10 0.794 0.048 0.228  -0.03
O11 0.206 0.952 0.772  -0.03
O12 0.294 0.228 0.048  -0.03
Al1 0.339 0.698 0.553  0.00
Al2 0.661 0.302 0.447  0.00
Al3 0.161 0.447 0.302  0.00
Al4 0.839 0.553 0.698  0.00
Pb1 0.250 0.896 0.104  0.01
Pb2 0.750 0.104 0.896  0.01

## Properties
VASP energy: -139.36 eV for the cell shown
V: 273 Å³ per cell